No. 1
Below is a geometry-optimized LaCe2As structure, with properties calculated at the PBE-GGA level.

The structure in CIF format:
```
data_LaCe2As
_cell_length_a 3.8516
_cell_length_b 3.8516
_cell_length_c 30.0817
_cell_angle_alpha 90.00
_cell_angle_beta 90.00
_cell_angle_gamma 120.00
_symmetry_space_group_name_H-M 'P 1'
_symmetry_Int_Tables_number 1
loop_
_symmetry_equiv_pos_as_xyz
'x,y,z'
loop_
_atom_site_label
_atom_site_type_symbol
_atom_site_fract_x
_atom_site_fract_y
_atom_site_fract_z
La1 La 0.0000 0.0000 0.0000
La2 La 0.3333 0.6667 0.6667
La3 La 0.6667 0.3333 0.3333
Ce1 Ce 0.0000 0.0000 0.1062
Ce2 Ce 0.0000 0.0000 0.8938
Ce3 Ce 0.3333 0.6667 0.5604
Ce4 Ce 0.3333 0.6667 0.7729
Ce5 Ce 0.6667 0.3333 0.2271
Ce6 Ce 0.6667 0.3333 0.4396
As1 As 0.0000 0.0000 0.5000
As2 As 0.3333 0.6667 0.1667
As3 As 0.6667 0.3333 0.8333
```

Calculated values
* energy above the most stable polymorph in this dataset: 0.56 eV per formula unit
* ΔE_f: -0.36 eV/atom

No. 2
Below is a geometry-optimized TiTlS3 structure, with properties calculated at the PBE-GGA level.

The structure in CIF format:
```
data_TiTlS3
_cell_length_a 5.0159
_cell_length_b 5.0159
_cell_length_c 5.0159
_cell_angle_alpha 90.00
_cell_angle_beta 90.00
_cell_angle_gamma 90.00
_symmetry_space_group_name_H-M 'P 1'
_symmetry_Int_Tables_number 1
loop_
_symmetry_equiv_pos_as_xyz
'x,y,z'
loop_
_atom_site_label
_atom_site_type_symbol
_atom_site_fract_x
_atom_site_fract_y
_atom_site_fract_z
Ti1 Ti 0.0000 0.0000 0.0000
Tl1 Tl 0.5000 0.5000 0.5000
S1 S 0.0000 0.5000 0.5000
S2 S 0.5000 0.0000 0.5000
S3 S 0.5000 0.5000 0.0000
```

No. 3
Below is a geometry-optimized ZrGe3P structure, with properties calculated at the PBE-GGA level.

The structure in CIF format:
```
data_ZrGe3P
_cell_length_a 4.7181
_cell_length_b 4.7181
_cell_length_c 4.7181
_cell_angle_alpha 90.00
_cell_angle_beta 90.00
_cell_angle_gamma 90.00
_symmetry_space_group_name_H-M 'P 1'
_symmetry_Int_Tables_number 1
loop_
_symmetry_equiv_pos_as_xyz
'x,y,z'
loop_
_atom_site_label
_atom_site_type_symbol
_atom_site_fract_x
_atom_site_fract_y
_atom_site_fract_z
Zr1 Zr 0.0000 0.0000 0.0000
Ge1 Ge 0.0000 0.5000 0.5000
Ge2 Ge 0.5000 0.0000 0.5000
Ge3 Ge 0.5000 0.5000 0.0000
P1 P 0.5000 0.5000 0.5000
```

Calculated values
* energy above the most stable polymorph in this dataset: 0.00 eV per formula unit
* ΔE_f: 0.56 eV/atom

Calculated electronic total energy in order - -22.9; -18.6; -25.0 eV/f.u.
Calculated mass density in order - 6.37; 4.58; 5.38 g/cm3
Calculated volume in order - 386.5; 126.2; 105.0 Å³ per cell